[1]
A relaxed Tl2NiPb crystal, computed with PBE.

## Properties
Calculated density (g/cm3): 10.9
Crystal system: orthorhombic
Relative energy among the computed polymorphs (meV per atom): 41.2
DFT formation energy (meV/atom): 197
Magnetization (μB per atom): 0.000

a = 7.486 Å, b = 7.486 Å, c = 4.475 Å
α = 72.66°, β = 72.66°, γ = 25.55°
Fractional positions:
Ni 0.250 0.250 0.250
Pb 0.750 0.750 0.750
Tl 0.929 0.929 0.071
Tl 0.571 0.571 0.429

[2]
A relaxed Tb3Dy2Y8 crystal, computed with PBE.

## Properties
Calculated density (g/cm3): 5.8
Crystal system: monoclinic
DFT formation energy (meV/atom): 243
Magnetization (μB per atom): 0.000

a = 5.646 Å, b = 7.644 Å, c = 10.811 Å
α = 110.70°, β = 90.02°, γ = 90.00°
Fractional positions:
Tb 0.500 0.000 0.000
Tb 0.000 0.285 0.000
Tb 0.000 0.715 0.000
Dy 0.499 0.241 0.483
Dy 0.501 0.759 0.517
Y 0.001 0.670 0.340
Y 0.999 0.330 0.660
Y 0.000 0.134 0.267
Y 0.000 0.866 0.733
Y 0.500 0.604 0.785
Y 0.500 0.181 0.785
Y 0.500 0.819 0.215
Y 0.500 0.396 0.215

[3]
A relaxed YNpSeS2 crystal, computed with PBE.

## Properties
Calculated density (g/cm3): 6.2
Crystal system: tetragonal
Magnetization (μB per atom): 0.800
Total DFT energy (no corrections) (hartree per atom): -0.2737

a = 4.330 Å, b = 4.330 Å, c = 7.329 Å
α = 107.18°, β = 107.18°, γ = 90.00°
Fractional positions:
Y 0.866 0.866 0.732
Np 0.131 0.131 0.262
Se 0.503 0.503 0.006
S 0.750 0.250 0.500
S 0.250 0.750 0.500

[4]
A relaxed Ho4TmIn crystal, computed with PBE.

## Properties
Calculated density (g/cm3): 8.8
Crystal system: orthorhombic
Relative energy among the computed polymorphs (meV per atom): 18.9
DFT formation energy (meV/atom): -130
Magnetization (μB per atom): 0.000

a = 5.363 Å, b = 11.005 Å, c = 6.582 Å
α = 90.00°, β = 114.04°, γ = 90.00°
Fractional positions:
Ho 0.999 0.196 0.998
Ho 0.001 0.696 0.002
Ho 0.480 0.949 0.960
Ho 0.520 0.449 0.040
Ho 0.821 0.448 0.641
Ho 0.179 0.948 0.359
Ho 0.678 0.167 0.356
Ho 0.322 0.667 0.644
Tm 0.677 0.729 0.354
Tm 0.323 0.229 0.646
In 0.847 0.945 0.695
In 0.153 0.445 0.305

[5]
A relaxed Tm2Si4Ir5 crystal, computed with PBE.

## Properties
Calculated density (g/cm3): 12.5
Crystal system: orthorhombic
Magnetization (μB per atom): 0.000
Total DFT energy (no corrections) (hartree per atom): -0.2825

a = 5.572 Å, b = 5.485 Å, c = 7.631 Å
α = 79.31°, β = 68.59°, γ = 59.47°
Fractional positions:
Tm 0.877 0.000 0.247
Tm 0.123 0.000 0.753
Si 0.478 0.308 0.736
Si 0.522 0.692 0.264
Si 0.214 0.308 0.264
Si 0.786 0.692 0.736
Ir 0.500 0.000 0.000
Ir 0.000 0.500 0.000
Ir 0.500 0.500 0.000
Ir 0.250 0.500 0.500
Ir 0.750 0.500 0.500

[6]
A relaxed NiAgPd2N crystal, computed with PBE.

## Properties
Calculated density (g/cm3): 9.7
Crystal system: tetragonal
Relative energy among the computed polymorphs (meV per atom): 0.0
Magnetization (μB per atom): 0.000

a = 4.314 Å, b = 4.314 Å, c = 3.634 Å
α = 90.00°, β = 90.00°, γ = 90.00°
Fractional positions:
Ni 0.000 0.000 0.500
Pd 0.000 0.500 0.000
Pd 0.500 0.000 0.000
Ag 0.500 0.500 0.500
N 0.000 0.000 0.000

[7]
A relaxed CeNiAsS crystal, computed with PBE.

## Properties
Calculated density (g/cm3): 6.7
Crystal system: tetragonal
Magnetization (μB per atom): 0.000
Total DFT energy (no corrections) (hartree per atom): -0.2292

a = 4.290 Å, b = 4.290 Å, c = 8.253 Å
α = 90.00°, β = 90.00°, γ = 90.00°
Fractional positions:
Ce 0.500 0.000 0.708
Ce 0.000 0.500 0.292
Ni 0.500 0.500 0.000
Ni 0.000 0.000 0.000
As 0.000 0.500 0.866
As 0.500 0.000 0.134
S 0.000 0.000 0.500
S 0.500 0.500 0.500

[8]
A relaxed Rb2Na2Pb15 crystal, computed with PBE.

## Properties
Calculated density (g/cm3): 8.4
Crystal system: trigonal
DFT formation energy (meV/atom): -80
Magnetization (μB per atom): 0.000

a = 8.792 Å, b = 8.792 Å, c = 8.792 Å
α = 81.39°, β = 81.39°, γ = 81.39°
Fractional positions:
Rb 0.344 0.344 0.344
Rb 0.656 0.656 0.656
Na 0.103 0.103 0.103
Na 0.897 0.897 0.897
Pb 0.500 0.000 0.000
Pb 0.000 0.000 0.500
Pb 0.000 0.500 0.000
Pb 0.000 0.704 0.296
Pb 0.704 0.296 0.000
Pb 0.296 0.000 0.704
Pb 0.296 0.704 0.000
Pb 0.704 0.000 0.296
Pb 0.000 0.296 0.704
Pb 0.155 0.648 0.648
Pb 0.648 0.648 0.155
Pb 0.648 0.155 0.648
Pb 0.845 0.352 0.352
Pb 0.352 0.352 0.845
Pb 0.352 0.845 0.352

[9]
A relaxed Dy3Er4Zn4 crystal, computed with PBE.

## Properties
Calculated density (g/cm3): 8.4
Crystal system: orthorhombic
DFT formation energy (meV/atom): -136
Magnetization (μB per atom): 0.000

a = 5.060 Å, b = 6.924 Å, c = 9.078 Å
α = 112.42°, β = 106.18°, γ = 90.00°
Fractional positions:
Dy 0.102 0.102 0.205
Dy 0.898 0.898 0.795
Dy 0.000 0.500 0.000
Er 0.321 0.089 0.642
Er 0.679 0.447 0.358
Er 0.679 0.911 0.358
Er 0.321 0.553 0.642
Zn 0.183 0.683 0.367
Zn 0.817 0.317 0.633
Zn 0.500 0.815 0.000
Zn 0.500 0.185 0.000

[10]
A relaxed Ac12NiPd6 crystal, computed with PBE.

## Properties
Calculated density (g/cm3): 8.3
Crystal system: trigonal
DFT formation energy (meV/atom): -465
Magnetization (μB per atom): 0.000

a = 8.906 Å, b = 8.906 Å, c = 8.906 Å
α = 98.08°, β = 98.08°, γ = 98.08°
Fractional positions:
Ac 0.814 0.591 0.429
Ac 0.429 0.814 0.591
Ac 0.591 0.429 0.814
Ac 0.186 0.409 0.571
Ac 0.571 0.186 0.409
Ac 0.409 0.571 0.186
Ac 0.090 0.956 0.316
Ac 0.044 0.684 0.910
Ac 0.684 0.910 0.044
Ac 0.910 0.044 0.684
Ac 0.956 0.316 0.090
Ac 0.316 0.090 0.956
Ni 0.000 0.000 0.000
Pd 0.687 0.877 0.381
Pd 0.619 0.313 0.123
Pd 0.123 0.619 0.313
Pd 0.313 0.123 0.619
Pd 0.381 0.687 0.877
Pd 0.877 0.381 0.687

[11]
A relaxed HfNbReOs crystal, computed with PBE.

## Properties
Calculated density (g/cm3): 16.0
Crystal system: cubic
Relative energy among the computed polymorphs (meV per atom): 4.1
DFT formation energy (meV/atom): -423
Magnetization (μB per atom): 0.000

a = 4.565 Å, b = 4.565 Å, c = 4.565 Å
α = 60.00°, β = 60.00°, γ = 60.00°
Fractional positions:
Re 0.750 0.750 0.750
Nb 0.000 0.000 0.000
Hf 0.500 0.500 0.500
Os 0.250 0.250 0.250

[12]
A relaxed Nd8Rh3CI3 crystal, computed with PBE.

## Properties
Calculated density (g/cm3): 6.5
Crystal system: trigonal
Magnetization (μB per atom): 0.000
Total DFT energy (no corrections) (hartree per atom): -0.2070

a = 8.250 Å, b = 8.252 Å, c = 9.396 Å
α = 116.04°, β = 89.98°, γ = 120.00°
Fractional positions:
Nd 0.271 0.541 0.311
Nd 0.729 0.459 0.689
Nd 0.787 0.573 0.326
Nd 0.213 0.427 0.674
Nd 0.786 0.039 0.326
Nd 0.214 0.961 0.674
Nd 0.253 0.039 0.326
Nd 0.747 0.961 0.674
Rh 0.500 0.000 0.500
Rh 0.500 0.500 0.500
Rh 0.000 0.500 0.500
C 0.000 0.000 0.500
I 0.000 0.000 0.000
I 0.000 0.500 0.000
I 0.500 0.500 0.000

[13]
A relaxed AlFeW2 crystal, computed with PBE.

## Properties
Calculated density (g/cm3): 13.1
Crystal system: orthorhombic
DFT formation energy (meV/atom): 83
Magnetization (μB per atom): 0.000

a = 2.730 Å, b = 3.985 Å, c = 5.259 Å
α = 90.00°, β = 90.00°, γ = 90.00°
Fractional positions:
Fe 0.500 0.500 0.750
W 0.000 0.000 0.997
W 0.000 0.000 0.503
Al 0.500 0.500 0.250

[14]
A relaxed Na2LiSmF6 crystal, computed with PBE.

## Properties
Calculated density (g/cm3): 3.7
Crystal system: trigonal
Magnetization (μB per atom): 0.024
Total DFT energy (no corrections) (hartree per atom): -0.1954

a = 5.736 Å, b = 5.735 Å, c = 6.009 Å
α = 61.49°, β = 61.47°, γ = 59.99°
Fractional positions:
Na 0.528 0.528 0.415
Na 0.027 0.027 0.919
Li 0.317 0.317 0.050
Sm 0.813 0.813 0.561
F 0.596 0.194 0.259
F 0.194 0.950 0.259
F 0.951 0.596 0.259
F 0.430 0.692 0.764
F 0.692 0.114 0.764
F 0.114 0.430 0.764

[15]
A relaxed Tb3CeNd2As6 crystal, computed with PBE.

## Properties
Calculated density (g/cm3): 7.2
Crystal system: monoclinic
DFT formation energy (meV/atom): -1515
Magnetization (μB per atom): 0.044

a = 4.200 Å, b = 8.392 Å, c = 9.371 Å
α = 102.85°, β = 102.95°, γ = 90.00°
Fractional positions:
Tb 0.500 0.500 0.000
Tb 0.832 0.167 0.665
Tb 0.168 0.833 0.335
Ce 0.500 0.000 0.000
Nd 0.833 0.665 0.666
Nd 0.167 0.335 0.334
As 0.334 0.922 0.667
As 0.665 0.588 0.329
As 0.666 0.078 0.333
As 0.998 0.250 0.996
As 0.002 0.750 0.004
As 0.335 0.412 0.671

[16]
A relaxed Li2ErAlO4 crystal, computed with PBE.

## Properties
Calculated density (g/cm3): 5.5
Crystal system: monoclinic
Magnetization (μB per atom): 0.000
Total DFT energy (no corrections) (hartree per atom): -0.2450

a = 3.107 Å, b = 5.375 Å, c = 5.275 Å
α = 110.58°, β = 90.00°, γ = 90.00°
Fractional positions:
Li 0.500 0.000 0.500
Li 0.000 0.500 0.500
Er 0.500 0.500 0.000
Al 0.000 0.000 0.000
O 0.500 0.220 0.226
O 0.500 0.780 0.774
O 0.000 0.219 0.776
O 0.000 0.781 0.224

[17]
A relaxed KBe2Cr crystal, computed with PBE.

## Properties
Calculated density (g/cm3): 2.8
Crystal system: cubic
Relative energy among the computed polymorphs (meV per atom): 1083.9
DFT formation energy (meV/atom): 1685
Magnetization (μB per atom): 0.000

a = 4.509 Å, b = 4.509 Å, c = 4.509 Å
α = 60.00°, β = 60.00°, γ = 60.00°
Fractional positions:
Cr 0.500 0.500 0.500
K 0.000 0.000 0.000
Be 0.250 0.250 0.250
Be 0.750 0.750 0.750

[18]
A relaxed Pm7Tm12Tl crystal, computed with PBE.

## Properties
Calculated density (g/cm3): 8.2
Crystal system: trigonal
DFT formation energy (meV/atom): 179
Magnetization (μB per atom): 0.000

a = 8.688 Å, b = 8.686 Å, c = 8.690 Å
α = 89.43°, β = 89.41°, γ = 89.41°
Fractional positions:
Pm 0.218 0.623 0.768
Pm 0.378 0.232 0.782
Pm 0.232 0.782 0.377
Pm 0.500 0.500 0.500
Pm 0.768 0.218 0.623
Pm 0.622 0.768 0.218
Pm 0.782 0.377 0.232
Tm 0.005 0.335 0.891
Tm 0.665 0.109 0.995
Tm 0.461 0.122 0.341
Tm 0.878 0.659 0.539
Tm 0.109 0.995 0.665
Tm 0.659 0.539 0.878
Tm 0.341 0.461 0.122
Tm 0.891 0.005 0.335
Tm 0.122 0.341 0.461
Tm 0.539 0.878 0.659
Tm 0.335 0.891 0.005
Tm 0.995 0.665 0.109
Tl 0.000 0.000 0.000

[19]
A relaxed Pm7Nd2Ho3 crystal, computed with PBE.

## Properties
Calculated density (g/cm3): 7.4
Crystal system: monoclinic
Relative energy among the computed polymorphs (meV per atom): 0.0
DFT formation energy (meV/atom): 67
Magnetization (μB per atom): 0.000

a = 3.573 Å, b = 6.460 Å, c = 18.189 Å
α = 75.28°, β = 90.00°, γ = 90.00°
Fractional positions:
Pm 0.500 0.239 0.503
Pm 0.500 0.761 0.497
Pm 0.000 0.558 0.164
Pm 0.000 0.000 0.000
Pm 0.000 0.442 0.836
Pm 0.500 0.942 0.831
Pm 0.500 0.058 0.169
Nd 0.500 0.612 0.329
Nd 0.500 0.388 0.671
Ho 0.500 0.500 0.000
Ho 0.000 0.113 0.341
Ho 0.000 0.887 0.659